No. 1
Below is a relaxed structure of MnCo2AsH, with properties calculated at the GGA-PBE level.

Structure (CIF):
```
data_MnCo2AsH
_chemical_formula_sum 'Mn1 Co2 As1 H1'
_cell_length_a 3.6737
_cell_length_b 3.6737
_cell_length_c 3.6523
_cell_angle_alpha 90.00
_cell_angle_beta 90.00
_cell_angle_gamma 90.00
_symmetry_space_group_name_H-M 'P 4/m m m'
_symmetry_Int_Tables_number 123
_symmetry_space_group_name_Hall '-P 4 2'
loop_
_atom_site_label
_atom_site_type_symbol
_atom_site_fract_x
_atom_site_fract_y
_atom_site_fract_z
Mn1 Mn 0.0000 0.0000 0.0000
Co1 Co 0.0000 0.5000 0.5000
As1 As 0.5000 0.5000 0.0000
H1 H 0.0000 0.0000 0.5000
```

## Properties
The density of states at the Fermi level is 0.803 states/eV per atom. For the calculated total energy, the calculation gives -31.64 eV for the cell shown.

No. 2
Below is a relaxed structure of Na2Co2As2H, with properties calculated at the GGA-PBE level.

Structure (CIF):
```
data_Na2Co2As2H
_chemical_formula_sum 'Na4 Co4 As4 H2'
_cell_length_a 3.7637
_cell_length_b 3.7637
_cell_length_c 14.8597
_cell_angle_alpha 90.00
_cell_angle_beta 90.00
_cell_angle_gamma 90.00
_symmetry_space_group_name_H-M 'I 4/m m m'
_symmetry_Int_Tables_number 139
_symmetry_space_group_name_Hall '-I 4 2'
loop_
_atom_site_label
_atom_site_type_symbol
_atom_site_fract_x
_atom_site_fract_y
_atom_site_fract_z
Na1 Na 0.0000 0.0000 0.1757
Co1 Co 0.0000 0.5000 0.0000
As1 As 0.0000 0.0000 0.3982
H1 H 0.0000 0.0000 0.0000
```

## Properties
The density of states at the Fermi level is 0.276 states/eV per atom. For the calculated total energy, the calculation gives -62.93 eV for the cell shown.

No. 3
Below is a relaxed structure of Co2NiAsH, with properties calculated at the GGA-PBE level.

Structure (CIF):
```
data_Co2NiAsH
_chemical_formula_sum 'Co2 Ni1 As1 H1'
_cell_length_a 3.6302
_cell_length_b 3.6302
_cell_length_c 3.5333
_cell_angle_alpha 90.00
_cell_angle_beta 90.00
_cell_angle_gamma 90.00
_symmetry_space_group_name_H-M 'P 4/m m m'
_symmetry_Int_Tables_number 123
_symmetry_space_group_name_Hall '-P 4 2'
loop_
_atom_site_label
_atom_site_type_symbol
_atom_site_fract_x
_atom_site_fract_y
_atom_site_fract_z
Co1 Co 0.0000 0.5000 0.0000
Ni1 Ni 0.0000 0.0000 0.5000
As1 As 0.5000 0.5000 0.5000
H1 H 0.0000 0.0000 0.0000
```

## Properties
The density of states at the Fermi level is 0.844 states/eV per atom. For the calculated total energy, the calculation gives -28.28 eV for the cell shown.